Entry 1:
Na2Mg2In2CuPd | PBE | optimized geometry

Structure (CIF):
```
data_Na2Mg2In2CuPd
_chemical_formula_sum 'Na2 Mg2 In2 Cu1 Pd1'
_space_group_name_H-M_alt 'P -4 m 2'
_space_group_IT_number 115
_cell_length_a 4.781
_cell_length_b 4.781
_cell_length_c 6.770
_cell_angle_alpha 90.00
_cell_angle_beta 90.00
_cell_angle_gamma 90.00
loop_
_space_group_symop_operation_xyz
'x,y,z'
'y,-x,-z'
'-x,-y,z'
'-y,x,-z'
'-x,y,z'
'-y,-x,-z'
'x,-y,z'
'y,x,-z'
loop_
_atom_site_label
_atom_site_type_symbol
_atom_site_fract_x
_atom_site_fract_y
_atom_site_fract_z
_atom_site_occupancy
Na1 Na 0.000 0.000 0.000 1
Na2 Na 0.500 0.500 0.500 1
Mg1 Mg 0.000 0.500 0.245 1
In1 In 0.000 0.500 0.749 1
Cu1 Cu 0.000 0.000 0.500 1
Pd1 Pd 0.500 0.500 0.000 1
```

---

Entry 2:
Sm2Y2BI5 | PBE | optimized geometry

Structure (CIF):
```
data_Sm2Y2BI5
_chemical_formula_sum 'Sm4 Y4 B2 I10'
_space_group_name_H-M_alt 'C 1 2/m 1'
_space_group_IT_number 12
_cell_length_a 19.185
_cell_length_b 4.110
_cell_length_c 8.833
_cell_angle_alpha 90.00
_cell_angle_beta 102.52
_cell_angle_gamma 90.00
loop_
_space_group_symop_operation_xyz
'x,y,z'
'-x,-y,-z'
'-x,y,-z'
'x,-y,z'
'x+1/2,y+1/2,z'
'-x+1/2,-y+1/2,-z'
'-x+1/2,y+1/2,-z'
'x+1/2,-y+1/2,z'
loop_
_atom_site_label
_atom_site_type_symbol
_atom_site_fract_x
_atom_site_fract_y
_atom_site_fract_z
_atom_site_occupancy
Sm1 Sm 0.001 0.000 0.302 1
Y1 Y 0.135 0.500 0.568 1
B1 B 0.000 0.500 0.500 1
I1 I 0.000 0.500 0.000 1
I2 I 0.167 0.000 0.834 1
I3 I 0.173 0.000 0.332 1
```

---

no.,E_tot (eV/atom)
1,-2.65
2,-4.78